1.
Compound: SrBH2
Source: Alexandria via LeMat-Bulk
Functional: GGA-PBEsol
Structure: relaxed

Summary:
* crystal system: cubic
* space-group type: Fm-3m

Cell: 3.9963 3.9963 3.9963 Å, 60.00 60.00 60.00°
Closest atoms and distances in Å follow each position.
Fractional coordinates of all 4 atoms:
Sr 0.0000 0.0000 0.0000  8 H 2.45
B 0.5000 0.5000 0.5000  8 H 2.45
H 0.2500 0.2500 0.2500  4 B 2.45, 4 Sr 2.45
H 0.7500 0.7500 0.7500  4 B 2.45, 4 Sr 2.45

---

2.
Compound: SrBH2
Source: Alexandria via LeMat-Bulk
Functional: GGA-PBEsol
Structure: relaxed

Summary:
* crystal system: tetragonal
* space-group type: I4_1/amd

Cell: 5.7381 5.7381 5.7381 Å, 137.99 137.99 60.91°
Closest atoms and distances in Å follow each position.
Fractional coordinates of all 8 atoms:
Sr 0.3750 0.6250 0.7500  8 H 2.61, 4 B 2.91
Sr 0.6250 0.3750 0.2500  8 H 2.61, 4 B 2.91
B 0.1250 0.8750 0.2500  4 H 1.61
B 0.8750 0.1250 0.7500  4 H 1.61
H 0.0000 0.0000 0.0000  2 B 1.61
H 0.0000 0.0000 0.5000  2 B 1.61
H 0.0000 0.5000 0.0000  2 B 1.61
H 0.5000 0.0000 0.5000  2 B 1.61

---

Stability check: which of them is least stable? 1.

---

1.
Compound: HfNb2B
Source: Alexandria via LeMat-Bulk
Functional: GGA-PBEsol
Structure: relaxed

Summary:
* crystal system: cubic
* space-group type: Fm-3m

Cell: 4.4338 4.4338 4.4338 Å, 60.00 60.00 60.00°
Closest atoms and distances in Å follow each position.
Fractional coordinates of all 4 atoms:
Hf 0.0000 0.0000 0.0000  8 Nb 2.72
Nb 0.2500 0.2500 0.2500  4 Hf 2.72, 4 B 2.72
Nb 0.7500 0.7500 0.7500  4 Hf 2.72, 4 B 2.72
B 0.5000 0.5000 0.5000  8 Nb 2.72

---

2.
Compound: HfNb2B
Source: Alexandria via LeMat-Bulk
Functional: GGA-PBEsol
Structure: relaxed

Summary:
* crystal system: tetragonal
* space-group type: I-42d

Cell: 5.7346 5.7346 5.7346 Å, 100.11 100.11 130.45°
Closest atoms and distances in Å follow each position.
Fractional coordinates of all 8 atoms:
Hf 0.0000 0.0000 0.0000  2 B 2.40
Hf 0.7500 0.2500 0.5000  2 B 2.40
Nb 0.1990 0.6250 0.0740  2 B 2.33
Nb 0.3750 0.4490 0.5740  2 B 2.33
Nb 0.5510 0.1250 0.9260  2 B 2.33
Nb 0.8750 0.8010 0.4260  2 B 2.33
B 0.2500 0.7500 0.5000  4 Nb 2.33, 2 Hf 2.40
B 0.5000 0.5000 0.0000  4 Nb 2.33, 2 Hf 2.40

---

Stability check: which of them is least stable? 1.

---

1.
Compound: BMoIN2
Source: Alexandria via LeMat-Bulk
Functional: GGA-PBEsol
Structure: relaxed

Summary:
* crystal system: tetragonal
* space-group type: P4/mmm

Cell: 3.8503 3.8503 5.6386 Å, 90.00 90.00 90.00°
Closest atoms and distances in Å follow each position.
Fractional coordinates of all 5 atoms:
B 0.0000 0.0000 0.0000  4 I 2.72
Mo 0.5000 0.5000 0.5000  4 N 1.93
I 0.5000 0.5000 0.0000  4 B 2.72, 2 Mo 2.82
N 0.0000 0.5000 0.5000  2 Mo 1.93
N 0.5000 0.0000 0.5000  2 Mo 1.93

---

2.
Compound: BMoIN2
Source: Alexandria via LeMat-Bulk
Functional: GGA-PBEsol
Structure: relaxed

Summary:
* crystal system: tetragonal
* space-group type: P4/mmm

Cell: 3.7233 3.7233 4.4586 Å, 90.00 90.00 90.00°
Closest atoms and distances in Å follow each position.
Fractional coordinates of all 5 atoms:
B 0.0000 0.0000 0.0000  4 N 1.86
Mo 0.5000 0.5000 0.5000  4 I 2.63, 8 N 2.90
I 0.0000 0.0000 0.5000  2 B 2.23
N 0.0000 0.5000 0.0000  2 B 1.86
N 0.5000 0.0000 0.0000  2 B 1.86

---

Stability check: which of them is least stable? 2.

---

1.
Compound: NiB2I
Source: Alexandria via LeMat-Bulk
Functional: GGA-PBEsol
Structure: relaxed

Summary:
* crystal system: cubic
* space-group type: Fm-3m

Cell: 4.1183 4.1183 4.1183 Å, 60.00 60.00 60.00°
Closest atoms and distances in Å follow each position.
Fractional coordinates of all 4 atoms:
Ni 0.0000 0.0000 0.0000  8 B 2.52
B 0.2500 0.2500 0.2500  4 Ni 2.52, 4 I 2.52
B 0.7500 0.7500 0.7500  4 Ni 2.52, 4 I 2.52
I 0.5000 0.5000 0.5000  8 B 2.52

---

2.
Compound: NiB2I
Source: Alexandria via LeMat-Bulk
Functional: GGA-PBEsol
Structure: relaxed

Summary:
* crystal system: tetragonal
* space-group type: I4_1/amd

Cell: 7.6251 7.6251 7.6251 Å, 150.85 150.85 41.69°
Closest atoms and distances in Å follow each position.
Fractional coordinates of all 8 atoms:
Ni 0.3750 0.6250 0.7500  4 B 2.02
Ni 0.6250 0.3750 0.2500  4 B 2.02
B 0.0000 0.5000 0.5000  2 B 1.92, 2 Ni 2.02
B 0.5000 0.0000 0.0000  2 B 1.92, 2 Ni 2.02
B 0.5000 0.5000 0.0000  2 B 1.92, 2 Ni 2.02
B 0.5000 0.5000 0.5000  2 B 1.92, 2 Ni 2.02
I 0.1250 0.8750 0.2500  4 Ni 2.71, 8 B 2.79
I 0.8750 0.1250 0.7500  4 Ni 2.71, 8 B 2.79

---

Stability check: which of them is least stable? 1.